Entry 1
The following is a DFT calculation (PBE-GGA) of a relaxed LiPm3Rh crystal.

Computed properties:
Fermi-level density of states: 10.0 states/eV/cell
Symmetry: Fmmm

Cell lengths 9.5797, 8.7209, 6.0908 Å; angles 78.39, 63.09, 38.52 degrees
Element x y z (fractional)
Li (0.1900, 0.8100, 0.8100)
Li (0.8100, 0.1900, 0.1900)
Pm (0.1983, 0.1983, 0.8017)
Pm (0.2050, 0.5743, 0.4257)
Pm (0.4257, 0.7950, 0.2050)
Pm (0.5743, 0.2050, 0.7950)
Pm (0.7950, 0.4257, 0.5743)
Pm (0.8017, 0.8017, 0.1983)
Rh (0.2500, 0.2500, 0.2500)
Rh (0.7500, 0.7500, 0.7500)


Entry 2
The following is a DFT calculation (PBE-GGA) of a relaxed LiPm3Rh crystal.

Computed properties:
Fermi-level density of states: 3.8 states/eV/cell
Symmetry: Pm-3m

Cell lengths 5.5374, 5.5374, 5.5374 Å; angles 90.00, 90.00, 90.00 degrees
Element x y z (fractional)
Li (0.0000, 0.0000, 0.0000)
Pm (0.0000, 0.5000, 0.5000)
Pm (0.5000, 0.0000, 0.5000)
Pm (0.5000, 0.5000, 0.0000)
Rh (0.5000, 0.5000, 0.5000)


Most stable: entry 1. Least stable: entry 2.